(1)
# Ac4BiSb2As

An optimized crystal structure of Ac4BiSb2As (PBE-GGA, the Alexandria database).

Cell: 4.758 8.240 8.253 Å, 70.59 90.00 90.00°
Fractional coordinates of all 8 atoms:
Bi: 0.500 0.500 0.000
Sb: 0.000 0.000 0.000
Sb: 0.500 0.000 0.500
Ac: 0.500 0.742 0.261
Ac: 0.500 0.258 0.739
Ac: 0.000 0.252 0.258
Ac: 0.000 0.748 0.742
As: 0.000 0.500 0.500

* raw formation energy: -1.208 eV/atom
* size of the total moment: 0.0 μB/f.u.

(2)
# Ac6BiSb2As3

An optimized crystal structure of Ac6BiSb2As3 (PBE-GGA, the Alexandria database).

Cell: 4.677 9.399 10.495 Å, 103.33 102.87 90.00°
Fractional coordinates of all 12 atoms:
Ac: 0.997 0.261 0.993
Ac: 0.003 0.739 0.007
Ac: 0.329 0.924 0.658
Ac: 0.671 0.076 0.342
Ac: 0.336 0.409 0.672
Ac: 0.664 0.591 0.328
As: 0.500 0.500 0.000
As: 0.833 0.167 0.667
As: 0.167 0.833 0.333
Sb: 0.834 0.667 0.667
Sb: 0.166 0.333 0.333
Bi: 0.500 0.000 0.000

* raw formation energy: -1.299 eV/atom
* size of the total moment: 0.0 μB/f.u.

(3)
# Ac6Bi2Sb3As

An optimized crystal structure of Ac6Bi2Sb3As (PBE-GGA, the Alexandria database).

Cell: 4.785 9.587 10.697 Å, 102.86 102.92 90.00°
Fractional coordinates of all 12 atoms:
As: 0.500 0.000 0.000
Ac: 0.335 0.414 0.670
Ac: 0.665 0.586 0.330
Ac: 0.002 0.761 0.004
Ac: 0.998 0.239 0.996
Ac: 0.339 0.923 0.677
Ac: 0.661 0.077 0.323
Sb: 0.832 0.165 0.663
Sb: 0.500 0.500 0.000
Sb: 0.168 0.835 0.337
Bi: 0.834 0.668 0.668
Bi: 0.166 0.332 0.332

* raw formation energy: -1.175 eV/atom
* size of the total moment: 0.0 μB/f.u.

(4)
# Ac6Bi3As2Se

An optimized crystal structure of Ac6Bi3As2Se (PBE-GGA, the Alexandria database).

Cell: 4.697 9.417 10.516 Å, 103.06 102.90 90.00°
Fractional coordinates of all 12 atoms:
Ac: 0.995 0.754 0.990
Ac: 0.005 0.246 0.010
Ac: 0.329 0.427 0.658
Ac: 0.334 0.904 0.669
Ac: 0.666 0.096 0.331
Ac: 0.671 0.573 0.342
Bi: 0.835 0.166 0.670
Bi: 0.500 0.500 0.000
Bi: 0.165 0.834 0.330
As: 0.166 0.332 0.332
As: 0.834 0.668 0.668
Se: 0.500 0.000 0.000

* raw formation energy: -1.307 eV/atom
* size of the total moment: 0.0 μB/f.u.